A relaxed ErLu5 crystal. Source: Alexandria, functional PBE-GGA.

Summary:
DFT formation energy: 0.120 eV per atom
Uncorrected energy: -26.45 eV/cell
Crystal system: orthorhombic

Cell lengths 3.6711, 5.5788, 9.1574 Å; angles 107.73, 90.00, 90.00 degrees
Fractional positions:
Lu 0.0000 0.6533 0.3066
Lu 0.5000 0.1811 0.3623
Lu 0.5000 0.5000 0.0000
Lu 0.5000 0.8189 0.6377
Lu 0.0000 0.3467 0.6934
Er 0.0000 0.0000 0.0000



A relaxed Er2Lu crystal. Source: Alexandria, functional PBE-GGA.

Summary:
DFT formation energy: 0.029 eV per atom
Polymorph energy (0 for the lowest one): 0 meV per atom
Uncorrected energy: -13.56 eV/cell
Crystal system: tetragonal

Cell lengths 3.4756, 3.4756, 7.8157 Å; angles 102.85, 102.85, 90.00 degrees
Fractional positions:
Lu 0.0000 0.0000 0.0000
Er 0.6662 0.6662 0.3324
Er 0.3338 0.3338 0.6676



A relaxed Er3Lu crystal. Source: Alexandria, functional PBE-GGA.

Summary:
DFT formation energy: 0.028 eV per atom
Polymorph energy (0 for the lowest one): 31 meV per atom
Uncorrected energy: -18.10 eV/cell
Crystal system: cubic

Cell lengths 4.9293, 4.9293, 4.9293 Å; angles 90.00, 90.00, 90.00 degrees
Fractional positions:
Lu 0.0000 0.0000 0.0000
Er 0.5000 0.5000 0.0000
Er 0.5000 0.0000 0.5000
Er 0.0000 0.5000 0.5000



A relaxed ErLuMg4 crystal. Source: Alexandria, functional PBE-GGA.

Summary:
DFT formation energy: -0.047 eV per atom
Uncorrected energy: -15.74 eV/cell
Crystal system: cubic

Cell lengths 5.9869, 5.9869, 5.9869 Å; angles 60.00, 60.00, 60.00 degrees
Fractional positions:
Mg 0.1251 0.6250 0.6250
Mg 0.6250 0.1251 0.6250
Mg 0.6250 0.6250 0.1251
Mg 0.6250 0.6250 0.6250
Er 0.2500 0.2500 0.2500
Lu 0.0000 0.0000 0.0000



A relaxed ErLu2Mg crystal. Source: Alexandria, functional PBE-GGA.

Summary:
DFT formation energy: 0.040 eV per atom
Polymorph energy (0 for the lowest one): 60 meV per atom
Uncorrected energy: -15.04 eV/cell
Crystal system: tetragonal

Cell lengths 4.8568, 4.8249, 4.8249 Å; angles 90.00, 90.00, 90.00 degrees
Fractional positions:
Lu 0.0000 0.5000 0.0000
Lu 0.0000 0.0000 0.5000
Mg 0.5000 0.5000 0.5000
Er 0.5000 0.0000 0.0000



A relaxed ErLu2Mg crystal. Source: Alexandria, functional PBE-GGA.

Summary:
DFT formation energy: -0.020 eV per atom
Polymorph energy (0 for the lowest one): 0 meV per atom
Uncorrected energy: -15.28 eV/cell
Crystal system: tetragonal

Cell lengths 3.4930, 3.4930, 9.2657 Å; angles 90.00, 90.00, 90.00 degrees
Fractional positions:
Lu 0.0000 0.0000 0.2404
Lu 0.0000 0.0000 0.7596
Mg 0.5000 0.5000 0.0000
Er 0.5000 0.5000 0.5000



A relaxed ErLu2Mg crystal. Source: Alexandria, functional PBE-GGA.

Summary:
DFT formation energy: 0.076 eV per atom
Polymorph energy (0 for the lowest one): 96 meV per atom
Uncorrected energy: -14.89 eV/cell
Crystal system: cubic

Cell lengths 5.4158, 5.4158, 5.4158 Å; angles 60.00, 60.00, 60.00 degrees
Fractional positions:
Lu 0.7500 0.7500 0.7500
Lu 0.2500 0.2500 0.2500
Mg 0.5000 0.5000 0.5000
Er 0.0000 0.0000 0.0000



A relaxed ErLuMgMn crystal. Source: Alexandria, functional PBE-GGA.

Summary:
DFT formation energy: 0.096 eV per atom
Uncorrected energy: -19.46 eV/cell
Crystal system: cubic

Cell lengths 5.1050, 5.1050, 5.1050 Å; angles 60.00, 60.00, 60.00 degrees
Fractional positions:
Mg 0.0000 0.0000 0.0000
Lu 0.7500 0.7500 0.7500
Er 0.2500 0.2500 0.2500
Mn 0.5000 0.5000 0.5000



A relaxed ErLuMgMo crystal. Source: Alexandria, functional PBE-GGA.

Summary:
DFT formation energy: 0.205 eV per atom
Uncorrected energy: -20.69 eV/cell
Crystal system: cubic

Cell lengths 5.0301, 5.0301, 5.0301 Å; angles 60.00, 60.00, 60.00 degrees
Fractional positions:
Mg 0.5000 0.5000 0.5000
Lu 0.2500 0.2500 0.2500
Er 0.7500 0.7500 0.7500
Mo 0.0000 0.0000 0.0000



A relaxed ErLuMgOs crystal. Source: Alexandria, functional PBE-GGA.

Summary:
DFT formation energy: -0.197 eV per atom
Uncorrected energy: -22.70 eV/cell
Crystal system: cubic

Cell lengths 4.9259, 4.9259, 4.9259 Å; angles 60.00, 60.00, 60.00 degrees
Fractional positions:
Er 0.2500 0.2500 0.2500
Mg 0.0000 0.0000 0.0000
Lu 0.7500 0.7500 0.7500
Os 0.5000 0.5000 0.5000



A relaxed ErLuMgPa crystal. Source: Alexandria, functional PBE-GGA.

Summary:
DFT formation energy: 0.345 eV per atom
Uncorrected energy: -18.79 eV/cell
Crystal system: cubic

Cell lengths 5.3641, 5.3641, 5.3641 Å; angles 60.00, 60.00, 60.00 degrees
Fractional positions:
Er 0.2500 0.2500 0.2500
Pa 0.0000 0.0000 0.0000
Lu 0.7500 0.7500 0.7500
Mg 0.5000 0.5000 0.5000



A relaxed ErLuMgPb crystal. Source: Alexandria, functional PBE-GGA.

Summary:
DFT formation energy: -0.212 eV per atom
Uncorrected energy: -15.23 eV/cell
Crystal system: cubic

Cell lengths 5.3016, 5.3016, 5.3016 Å; angles 60.00, 60.00, 60.00 degrees
Fractional positions:
Lu 0.2500 0.2500 0.2500
Mg 0.5000 0.5000 0.5000
Pb 0.0000 0.0000 0.0000
Er 0.7500 0.7500 0.7500



A relaxed ErLuMgPt crystal. Source: Alexandria, functional PBE-GGA.

Summary:
DFT formation energy: -0.632 eV per atom
Uncorrected energy: -19.25 eV/cell
Crystal system: cubic

Cell lengths 5.0087, 5.0087, 5.0087 Å; angles 60.00, 60.00, 60.00 degrees
Fractional positions:
Lu 0.5000 0.5000 0.5000
Mg 0.2500 0.2500 0.2500
Pt 0.7500 0.7500 0.7500
Er 0.0000 0.0000 0.0000



A relaxed ErLuPuMg crystal. Source: Alexandria, functional PBE-GGA.

Summary:
DFT formation energy: 0.148 eV per atom
Uncorrected energy: -24.42 eV/cell
Crystal system: cubic

Cell lengths 5.3902, 5.3902, 5.3902 Å; angles 60.00, 60.00, 60.00 degrees
Fractional positions:
Pu 0.2500 0.2500 0.2500
Mg 0.7500 0.7500 0.7500
Er 0.0000 0.0000 0.0000
Lu 0.5000 0.5000 0.5000



A relaxed ErLuMgRh crystal. Source: Alexandria, functional PBE-GGA.

Summary:
DFT formation energy: -0.449 eV per atom
Uncorrected energy: -19.83 eV/cell
Crystal system: cubic

Cell lengths 4.9757, 4.9757, 4.9757 Å; angles 60.00, 60.00, 60.00 degrees
Fractional positions:
Mg 0.5000 0.5000 0.5000
Er 0.7500 0.7500 0.7500
Lu 0.2500 0.2500 0.2500
Rh 0.0000 0.0000 0.0000



A relaxed ErLuMgRu crystal. Source: Alexandria, functional PBE-GGA.

Summary:
DFT formation energy: -0.241 eV per atom
Uncorrected energy: -20.92 eV/cell
Crystal system: cubic

Cell lengths 4.9493, 4.9493, 4.9493 Å; angles 60.00, 60.00, 60.00 degrees
Fractional positions:
Er 0.5000 0.5000 0.5000
Ru 0.7500 0.7500 0.7500
Mg 0.2500 0.2500 0.2500
Lu 0.0000 0.0000 0.0000



A relaxed SmErLuMg crystal. Source: Alexandria, functional PBE-GGA.

Summary:
DFT formation energy: 0.026 eV per atom
Uncorrected energy: -15.29 eV/cell
Crystal system: cubic

Cell lengths 5.4783, 5.4783, 5.4783 Å; angles 60.00, 60.00, 60.00 degrees
Fractional positions:
Sm 0.2500 0.2500 0.2500
Mg 0.0000 0.0000 0.0000
Lu 0.5000 0.5000 0.5000
Er 0.7500 0.7500 0.7500



A relaxed ErLuThMg crystal. Source: Alexandria, functional PBE-GGA.

Summary:
DFT formation energy: 0.087 eV per atom
Uncorrected energy: -17.75 eV/cell
Crystal system: cubic

Cell lengths 5.4737, 5.4737, 5.4737 Å; angles 60.00, 60.00, 60.00 degrees
Fractional positions:
Mg 0.5000 0.5000 0.5000
Th 0.2500 0.2500 0.2500
Er 0.7500 0.7500 0.7500
Lu 0.0000 0.0000 0.0000



A relaxed ErLuMgTi crystal. Source: Alexandria, functional PBE-GGA.

Summary:
DFT formation energy: 0.150 eV per atom
Uncorrected energy: -17.97 eV/cell
Crystal system: cubic

Cell lengths 5.1946, 5.1946, 5.1946 Å; angles 60.00, 60.00, 60.00 degrees
Fractional positions:
Ti 0.2500 0.2500 0.2500
Er 0.0000 0.0000 0.0000
Mg 0.7500 0.7500 0.7500
Lu 0.5000 0.5000 0.5000



A relaxed ErLuMgTl crystal. Source: Alexandria, functional PBE-GGA.

Summary:
DFT formation energy: -0.187 eV per atom
Uncorrected energy: -13.79 eV/cell
Crystal system: cubic

Cell lengths 5.2713, 5.2713, 5.2713 Å; angles 60.00, 60.00, 60.00 degrees
Fractional positions:
Mg 0.2500 0.2500 0.2500
Lu 0.0000 0.0000 0.0000
Tl 0.7500 0.7500 0.7500
Er 0.5000 0.5000 0.5000



A relaxed YErLuMg crystal. Source: Alexandria, functional PBE-GGA.

Summary:
DFT formation energy: 0.033 eV per atom
Uncorrected energy: -17.01 eV/cell
Crystal system: cubic

Cell lengths 5.4531, 5.4531, 5.4531 Å; angles 60.00, 60.00, 60.00 degrees
Fractional positions:
Mg 0.5000 0.5000 0.5000
Er 0.7500 0.7500 0.7500
Lu 0.0000 0.0000 0.0000
Y 0.2500 0.2500 0.2500



A relaxed ErLuMn4 crystal. Source: Alexandria, functional PBE-GGA.

Summary:
DFT formation energy: 0.055 eV per atom
Uncorrected energy: -45.43 eV/cell
Crystal system: cubic

Cell lengths 5.0537, 5.0537, 5.0537 Å; angles 60.00, 60.00, 60.00 degrees
Fractional positions:
Mn 0.1247 0.6251 0.6251
Mn 0.6251 0.6251 0.1247
Mn 0.6251 0.6251 0.6251
Mn 0.6251 0.1247 0.6251
Er 0.2500 0.2500 0.2500
Lu 0.0000 0.0000 0.0000



A relaxed ErLuMn2 crystal. Source: Alexandria, functional PBE-GGA.

Summary:
DFT formation energy: 0.166 eV per atom
Polymorph energy (0 for the lowest one): 0 meV per atom
Uncorrected energy: -26.76 eV/cell
Crystal system: cubic

Cell lengths 4.8964, 4.8964, 4.8964 Å; angles 60.00, 60.00, 60.00 degrees
Fractional positions:
Mn 0.2500 0.2500 0.2500
Mn 0.7500 0.7500 0.7500
Er 0.0000 0.0000 0.0000
Lu 0.5000 0.5000 0.5000



A relaxed ErLu2Mn crystal. Source: Alexandria, functional PBE-GGA.

Summary:
DFT formation energy: 0.099 eV per atom
Uncorrected energy: -22.38 eV/cell
Crystal system: tetragonal

Cell lengths 3.4464, 3.4464, 8.5078 Å; angles 90.00, 90.00, 90.00 degrees
Fractional positions:
Lu 0.0000 0.0000 0.1994
Lu 0.0000 0.0000 0.8006
Mn 0.5000 0.5000 0.0000
Er 0.5000 0.5000 0.5000



A relaxed ErLuMn2 crystal. Source: Alexandria, functional PBE-GGA.

Summary:
DFT formation energy: 0.170 eV per atom
Polymorph energy (0 for the lowest one): 4 meV per atom
Uncorrected energy: -26.74 eV/cell
Crystal system: tetragonal

Cell lengths 3.3635, 4.9424, 4.9424 Å; angles 90.00, 90.00, 90.00 degrees
Fractional positions:
Mn 0.0000 0.0000 0.5000
Mn 0.0000 0.5000 0.0000
Er 0.5000 0.0000 0.0000
Lu 0.5000 0.5000 0.5000



A relaxed ErLuMnNi crystal. Source: Alexandria, functional PBE-GGA.

Summary:
DFT formation energy: -0.069 eV per atom
Uncorrected energy: -24.31 eV/cell
Crystal system: cubic

Cell lengths 4.8029, 4.8029, 4.8029 Å; angles 60.00, 60.00, 60.00 degrees
Fractional positions:
Er 0.0000 0.0000 0.0000
Ni 0.2500 0.2500 0.2500
Mn 0.7500 0.7500 0.7500
Lu 0.5000 0.5000 0.5000



A relaxed ErLuMnOs crystal. Source: Alexandria, functional PBE-GGA.

Summary:
DFT formation energy: -0.084 eV per atom
Uncorrected energy: -29.82 eV/cell
Crystal system: cubic

Cell lengths 4.8299, 4.8299, 4.8299 Å; angles 60.00, 60.00, 60.00 degrees
Fractional positions:
Mn 0.7500 0.7500 0.7500
Er 0.5000 0.5000 0.5000
Lu 0.0000 0.0000 0.0000
Os 0.2500 0.2500 0.2500



A relaxed ErLuMnPd crystal. Source: Alexandria, functional PBE-GGA.

Summary:
DFT formation energy: -0.316 eV per atom
Uncorrected energy: -24.71 eV/cell
Crystal system: cubic

Cell lengths 4.9030, 4.9030, 4.9030 Å; angles 60.00, 60.00, 60.00 degrees
Fractional positions:
Pd 0.0000 0.0000 0.0000
Er 0.2500 0.2500 0.2500
Lu 0.7500 0.7500 0.7500
Mn 0.5000 0.5000 0.5000



A relaxed ErLuMnRh crystal. Source: Alexandria, functional PBE-GGA.

Summary:
DFT formation energy: -0.342 eV per atom
Uncorrected energy: -26.97 eV/cell
Crystal system: cubic

Cell lengths 4.8398, 4.8398, 4.8398 Å; angles 60.00, 60.00, 60.00 degrees
Fractional positions:
Mn 0.5000 0.5000 0.5000
Er 0.2500 0.2500 0.2500
Lu 0.7500 0.7500 0.7500
Rh 0.0000 0.0000 0.0000



A relaxed ErLuMnRu crystal. Source: Alexandria, functional PBE-GGA.

Summary:
DFT formation energy: -0.150 eV per atom
Uncorrected energy: -28.13 eV/cell
Crystal system: cubic

Cell lengths 4.8313, 4.8313, 4.8313 Å; angles 60.00, 60.00, 60.00 degrees
Fractional positions:
Ru 0.2500 0.2500 0.2500
Er 0.5000 0.5000 0.5000
Mn 0.7500 0.7500 0.7500
Lu 0.0000 0.0000 0.0000